(1)
Compound: ScSbAs
Source: Alexandria via LeMat-Bulk
Functional: GGA-PBE
Structure: optimized geometry

Calculated values
E above lowest polymorph: 251.2 meV/atom
E_form (uncorrected): -0.409 eV/atom
final energy: -5.444 eV per atom

Unit cell a=7.854 b=7.783 c=3.146 alpha=79.66 beta=77.13 gamma=23.20
Atoms (fractional coordinates):
As1 0.034 0.034 0.966
Sb1 0.311 0.311 0.689
Sc1 0.655 0.655 0.345

(2)
Compound: BaTa2Ir
Source: Alexandria via LeMat-Bulk
Functional: GGA-PBE
Structure: optimized geometry

Calculated values
E above lowest polymorph: 241.4 meV/atom
formation energy from the elements: 0.4589 eV per atom
final energy: -8.163 eV per atom

Unit cell a=2.968 b=2.968 c=10.060 alpha=90.00 beta=90.00 gamma=90.02
Atoms (fractional coordinates):
Ir1 0.500 0.500 0.750
Ba1 0.500 0.500 0.250
Ta1 0.000 0.000 0.934
Ta2 0.000 0.000 0.566

(3)
Compound: Rb2UCl2F4
Source: Alexandria via LeMat-Bulk
Functional: GGA-PBE
Structure: optimized geometry

Calculated values
E_form (uncorrected): -2.801 eV/atom
final energy: -5.512 eV per atom

Unit cell a=7.044 b=7.044 c=7.044 alpha=88.21 beta=121.04 gamma=121.04
Last column: magnetic moment on the atom in μB.
Atoms (fractional coordinates):
Rb1 0.500 0.750 0.250  0.00
Rb2 0.500 0.250 0.750  0.00
U1 0.000 0.000 0.000  2.02
Cl1 0.000 0.733 0.733  -0.01
Cl2 0.000 0.267 0.267  -0.01
F1 0.000 0.782 0.218  -0.02
F2 0.564 0.782 0.782  -0.02
F3 0.000 0.218 0.782  -0.02
F4 0.436 0.218 0.218  -0.02

(4)
Compound: Pr2Pu3ScTe6
Source: Alexandria via LeMat-Bulk
Functional: GGA-PBE
Structure: optimized geometry

Calculated values
E_form (uncorrected): -1.204 eV/atom
final energy: -7.682 eV per atom

Unit cell a=4.413 b=8.879 c=9.876 alpha=102.47 beta=102.91 gamma=90.00
Last column: magnetic moment on the atom in μB.
Atoms (fractional coordinates):
Pr1 0.834 0.663 0.668  0.00
Pr2 0.166 0.337 0.332  0.00
Pu1 0.500 0.500 0.000  -5.55
Pu2 0.829 0.162 0.657  5.52
Pu3 0.171 0.838 0.343  5.52
Sc1 0.500 0.000 0.000  0.04
Te1 0.340 0.924 0.680  -0.05
Te2 0.665 0.591 0.330  -0.01
Te3 0.660 0.076 0.320  -0.05
Te4 0.996 0.235 0.993  0.01
Te5 0.004 0.765 0.007  0.01
Te6 0.335 0.409 0.670  -0.01

(5)
Compound: PrNd6Ho3
Source: Alexandria via LeMat-Bulk
Functional: GGA-PBE
Structure: optimized geometry

Calculated values
E above lowest polymorph: 0.0 meV/atom
formation energy from the elements: 0.1246 eV per atom
final energy: -4.587 eV per atom

Unit cell a=6.512 b=11.823 c=11.823 alpha=130.84 beta=90.00 gamma=90.00
Atoms (fractional coordinates):
Pr1 0.008 0.155 0.845
Pr2 0.508 0.845 0.155
Nd1 0.079 0.738 0.620
Nd2 0.579 0.620 0.738
Nd3 0.330 0.456 0.892
Nd4 0.830 0.892 0.456
Nd5 0.284 0.986 0.014
Nd6 0.805 0.300 0.700
Nd7 0.305 0.700 0.300
Nd8 0.784 0.014 0.986
Nd9 0.330 0.108 0.544
Nd10 0.830 0.544 0.108
Nd11 0.079 0.380 0.262
Nd12 0.579 0.262 0.380
Ho1 0.485 0.959 0.704
Ho2 0.985 0.704 0.959
Ho3 0.099 0.419 0.581
Ho4 0.599 0.581 0.419
Ho5 0.985 0.041 0.296
Ho6 0.485 0.296 0.041

(6)
Compound: Tm4TlIn2Hg
Source: Alexandria via LeMat-Bulk
Functional: GGA-PBE
Structure: optimized geometry

Calculated values
formation energy from the elements: -0.3944 eV per atom
final energy: -3.648 eV per atom

Unit cell a=5.263 b=5.263 c=9.111 alpha=73.21 beta=73.21 gamma=60.00
Atoms (fractional coordinates):
Tm1 0.377 0.377 0.870
Tm2 0.874 0.874 0.379
Tm3 0.126 0.126 0.621
Tm4 0.623 0.623 0.130
Tl1 0.000 0.000 0.000
In1 0.750 0.750 0.749
In2 0.250 0.250 0.251
Hg1 0.500 0.500 0.500

(7)
Compound: SrZn3Ir2
Source: Alexandria via LeMat-Bulk
Functional: GGA-PBE
Structure: optimized geometry

Calculated values
formation energy from the elements: -0.3138 eV per atom
final energy: -4.185 eV per atom

Unit cell a=5.698 b=6.400 c=6.400 alpha=99.89 beta=90.00 gamma=90.00
Atoms (fractional coordinates):
Sr1 0.250 0.342 0.342
Sr2 0.750 0.658 0.658
Zn1 0.750 0.463 0.068
Zn2 0.750 0.068 0.463
Zn3 0.250 0.537 0.932
Zn4 0.750 0.041 0.041
Zn5 0.250 0.959 0.959
Zn6 0.250 0.932 0.537
Ir1 0.500 0.784 0.216
Ir2 0.000 0.784 0.216
Ir3 0.000 0.216 0.784
Ir4 0.500 0.216 0.784

(8)
Compound: Nd5Ho2
Source: Alexandria via LeMat-Bulk
Functional: GGA-PBE
Structure: optimized geometry

Calculated values
E above lowest polymorph: 161.7 meV/atom
formation energy from the elements: 0.1895 eV per atom
final energy: -4.524 eV per atom

Unit cell a=3.554 b=8.654 c=8.425 alpha=84.28 beta=77.82 gamma=78.15
Atoms (fractional coordinates):
Nd1 0.369 0.362 0.900
Nd2 0.631 0.638 0.100
Nd3 0.000 0.000 0.000
Nd4 0.839 0.668 0.655
Nd5 0.161 0.332 0.345
Ho1 0.638 0.088 0.637
Ho2 0.362 0.912 0.363

(9)
Compound: H2AuS
Source: Alexandria via LeMat-Bulk
Functional: GGA-PBE
Structure: optimized geometry

Calculated values
E above lowest polymorph: 679.0 meV/atom
final energy: -2.447 eV per atom

Unit cell a=3.909 b=3.909 c=3.909 alpha=60.00 beta=60.00 gamma=60.00
Atoms (fractional coordinates):
H1 0.250 0.250 0.250
H2 0.750 0.750 0.750
S1 0.000 0.000 0.000
Au1 0.500 0.500 0.500

(10)
Compound: Pm2ScMnSe6
Source: Alexandria via LeMat-Bulk
Functional: GGA-PBE
Structure: optimized geometry

Calculated values
E_form (uncorrected): -1.462 eV/atom
final energy: -6.053 eV per atom

Unit cell a=6.659 b=7.524 c=9.682 alpha=90.00 beta=90.44 gamma=90.00
Last column: magnetic moment on the atom in μB.
Atoms (fractional coordinates):
Pm1 0.046 0.886 0.247  0.03
Pm2 0.546 0.614 0.747  0.03
Pm3 0.954 0.114 0.753  0.03
Pm4 0.454 0.386 0.253  0.03
Sc1 0.500 0.000 0.000  0.06
Sc2 0.000 0.500 0.500  0.06
Mn1 0.500 0.000 0.500  3.67
Mn2 0.000 0.500 0.000  3.67
Se1 0.321 0.674 0.057  -0.03
Se2 0.821 0.826 0.557  -0.03
Se3 0.679 0.326 0.943  -0.03
Se4 0.179 0.174 0.443  -0.03
Se5 0.330 0.679 0.438  0.03
Se6 0.830 0.821 0.938  0.03
Se7 0.670 0.321 0.562  0.03
Se8 0.170 0.179 0.062  0.03
Se9 0.866 0.529 0.240  -0.03
Se10 0.366 0.971 0.740  -0.03
Se11 0.134 0.471 0.760  -0.03
Se12 0.634 0.029 0.260  -0.03

(11)
Compound: Y2ErMg5Sc2
Source: Alexandria via LeMat-Bulk
Functional: GGA-PBE
Structure: optimized geometry

Calculated values
formation energy from the elements: 0.0307 eV per atom
final energy: -3.782 eV per atom

Unit cell a=4.936 b=10.337 c=10.337 alpha=90.00 beta=90.00 gamma=90.00
Atoms (fractional coordinates):
Y1 0.000 0.679 0.179
Y2 0.000 0.321 0.821
Y3 0.000 0.179 0.321
Y4 0.000 0.821 0.679
Er1 0.000 0.000 0.000
Er2 0.000 0.500 0.500
Mg1 0.500 0.203 0.069
Mg2 0.500 0.797 0.931
Mg3 0.500 0.069 0.797
Mg4 0.500 0.703 0.431
Mg5 0.500 0.931 0.203
Mg6 0.500 0.297 0.569
Mg7 0.500 0.569 0.703
Mg8 0.500 0.431 0.297
Mg9 0.500 0.500 0.000
Mg10 0.500 0.000 0.500
Sc1 0.000 0.116 0.616
Sc2 0.000 0.884 0.384
Sc3 0.000 0.616 0.884
Sc4 0.000 0.384 0.116

(12)
Compound: InHgRh2
Source: Alexandria via LeMat-Bulk
Functional: GGA-PBE
Structure: optimized geometry

Calculated values
formation energy from the elements: -0.1699 eV per atom
final energy: -4.606 eV per atom

Unit cell a=3.230 b=3.236 c=7.314 alpha=63.68 beta=90.00 gamma=90.00
Atoms (fractional coordinates):
Rh1 0.000 0.011 0.989
Rh2 0.000 0.489 0.511
Hg1 0.500 0.250 0.250
In1 0.500 0.750 0.750

(13)
Compound: PmThAlPb
Source: Alexandria via LeMat-Bulk
Functional: GGA-PBE
Structure: optimized geometry

Calculated values
formation energy from the elements: -0.2147 eV per atom
final energy: -5.120 eV per atom

Unit cell a=5.432 b=5.432 c=5.432 alpha=60.00 beta=60.00 gamma=60.00
Atoms (fractional coordinates):
Pb1 0.250 0.250 0.250
Al1 0.750 0.750 0.750
Th1 0.000 0.000 0.000
Pm1 0.500 0.500 0.500

(14)
Compound: AcCd2Pd
Source: Alexandria via LeMat-Bulk
Functional: GGA-PBE
Structure: optimized geometry

Calculated values
E above lowest polymorph: 315.2 meV/atom
formation energy from the elements: -0.2469 eV per atom
final energy: -3.030 eV per atom

Unit cell a=5.231 b=5.231 c=5.231 alpha=60.00 beta=60.00 gamma=60.00
Atoms (fractional coordinates):
Ac1 0.000 0.000 0.000
Pd1 0.500 0.500 0.500
Cd1 0.250 0.250 0.250
Cd2 0.750 0.750 0.750

(15)
Compound: Tb9Pm2Dy3
Source: Alexandria via LeMat-Bulk
Functional: GGA-PBE
Structure: optimized geometry

Calculated values
formation energy from the elements: 0.1170 eV per atom
final energy: -4.524 eV per atom

Unit cell a=6.228 b=10.507 c=13.498 alpha=40.53 beta=55.34 gamma=56.57
Atoms (fractional coordinates):
Tb1 0.000 0.500 0.500
Tb2 0.403 0.992 0.694
Tb3 0.597 0.008 0.306
Tb4 0.740 0.832 0.918
Tb5 0.260 0.168 0.082
Tb6 0.013 0.841 0.493
Tb7 0.987 0.159 0.507
Tb8 0.805 0.486 0.897
Tb9 0.195 0.514 0.103
Pm1 0.425 0.327 0.703
Pm2 0.575 0.673 0.297
Dy1 0.000 0.000 0.000
Dy2 0.635 0.344 0.276
Dy3 0.365 0.656 0.724

(16)
Compound: NbFe2Cu
Source: Alexandria via LeMat-Bulk
Functional: GGA-PBE
Structure: optimized geometry

Calculated values
E above lowest polymorph: 0.0 meV/atom
formation energy from the elements: 0.0420 eV per atom
final energy: -7.731 eV per atom

Unit cell a=3.507 b=3.818 c=3.818 alpha=90.00 beta=90.00 gamma=90.00
Last column: magnetic moment on the atom in μB.
Atoms (fractional coordinates):
Nb1 0.500 0.500 0.500  -0.58
Fe1 0.000 0.000 0.500  1.29
Fe2 0.000 0.500 0.000  1.29
Cu1 0.500 0.000 0.000  -0.01

(17)
Compound: AlCdMo2
Source: Alexandria via LeMat-Bulk
Functional: GGA-PBE
Structure: optimized geometry

Calculated values
E above lowest polymorph: 481.6 meV/atom
formation energy from the elements: 0.5829 eV per atom
final energy: -5.997 eV per atom

Unit cell a=3.822 b=3.822 c=10.271 alpha=79.28 beta=79.28 gamma=90.00
Atoms (fractional coordinates):
Mo1 0.598 0.125 0.250
Mo2 0.152 0.625 0.250
Mo3 0.375 0.402 0.750
Mo4 0.875 0.848 0.750
Al1 0.500 0.500 0.000
Al2 0.250 0.750 0.500
Cd1 0.000 0.000 0.000
Cd2 0.750 0.250 0.500

(18)
Compound: Hf3VBi
Source: Alexandria via LeMat-Bulk
Functional: GGA-PBE
Structure: optimized geometry

Calculated values
E above lowest polymorph: 562.8 meV/atom
formation energy from the elements: 0.5826 eV per atom
final energy: -7.989 eV per atom

Unit cell a=4.928 b=4.928 c=4.928 alpha=90.00 beta=90.00 gamma=90.00
Atoms (fractional coordinates):
Hf1 0.000 0.500 0.000
Hf2 0.000 0.000 0.500
Hf3 0.500 0.000 0.000
Bi1 0.500 0.500 0.500
V1 0.000 0.000 0.000

(19)
Compound: SrAcPr2Se4
Source: Alexandria via LeMat-Bulk
Functional: GGA-PBE
Structure: optimized geometry

Calculated values
E_form (uncorrected): -1.886 eV/atom
final energy: -5.547 eV per atom

Unit cell a=4.328 b=7.575 c=7.536 alpha=70.91 beta=90.00 gamma=90.00
Atoms (fractional coordinates):
Sr1 0.000 0.500 0.500
Ac1 0.500 0.500 0.000
Pr1 0.000 0.000 0.000
Pr2 0.500 0.000 0.500
Se1 0.000 0.758 0.743
Se2 0.000 0.242 0.257
Se3 0.500 0.757 0.250
Se4 0.500 0.243 0.750

(20)
Compound: Er8GaIr2
Source: Alexandria via LeMat-Bulk
Functional: GGA-PBE
Structure: optimized geometry

Calculated values
formation energy from the elements: -0.4437 eV per atom
final energy: -5.648 eV per atom

Unit cell a=5.435 b=7.761 c=7.761 alpha=112.91 beta=97.89 gamma=97.89
Atoms (fractional coordinates):
Ir1 0.499 0.693 0.314
Ir2 0.499 0.314 0.693
Ga1 0.019 0.003 0.003
Er1 0.584 0.333 0.074
Er2 0.584 0.074 0.333
Er3 0.195 0.382 0.382
Er4 0.999 0.242 0.763
Er5 0.999 0.763 0.242
Er6 0.804 0.626 0.626
Er7 0.409 0.933 0.672
Er8 0.409 0.672 0.933